Entry 1:
Compound: LiZr2CuPt
Source: the Alexandria database
Functional: PBE
Structure: optimized geometry

Computed properties:
Formation energy = 0.380 eV per atom
V = 17.50 A^3/atom

abc: 4.7039 3.9550 4.7039
angles: 90.00 90.00 90.00
With the nearest neighbours (Å) after each atom.
Sites, in units of the cell vectors:
Cu  0.0000  0.5000  0.0000  2 Li 1.98
Pt  0.5000  0.5000  0.5000  8 Zr 3.07, 4 Cu 3.33
Zr  0.5000  0.0000  0.0000  2 Li 2.35
Zr  0.0000  0.0000  0.5000  2 Li 2.35
Li  0.0000  0.0000  0.0000  2 Cu 1.98

***

Entry 2:
Compound: Cd2MoOs
Source: the Alexandria database
Functional: PBE
Structure: optimized geometry

Computed properties:
Formation energy = 0.570 eV per atom
V = 17.35 A^3/atom
Energy above the most stable polymorph in this dataset = 0.380 eV per atom

abc: 5.2489 5.2489 4.6251
angles: 76.48 76.48 34.18
With the nearest neighbours (Å) after each atom.
Sites, in units of the cell vectors:
Cd  0.9961  0.9961  0.0035  6 Cd 2.77-3.08, 3 Os 2.90-3.04, 3 Mo 2.96-2.98
Os  0.2500  0.2500  0.2500  4 Mo 2.78, 6 Cd 2.90-3.04, 2 Os 3.08
Mo  0.7500  0.7500  0.7500  4 Os 2.78, 6 Cd 2.96-2.98, 2 Mo 3.08
Cd  0.5039  0.5039  0.4965  6 Cd 2.77-3.08, 3 Os 2.90-3.04, 3 Mo 2.96-2.98

***

Entry 3:
Compound: Li2GdMg
Source: the Alexandria database
Functional: PBE
Structure: optimized geometry

Computed properties:
Formation energy = 0.106 eV per atom
V = 23.92 A^3/atom
Energy above the most stable polymorph in this dataset = 0.054 eV per atom

abc: 3.6191 5.1415 5.1415
angles: 90.00 90.00 90.00
With the nearest neighbours (Å) after each atom.
Sites, in units of the cell vectors:
Gd  0.5000  0.5000  0.5000  8 Li 3.14
Li  0.0000  0.5000  0.0000  4 Mg 3.14, 4 Gd 3.14
Li  0.0000  0.0000  0.5000  4 Gd 3.14, 4 Mg 3.14
Mg  0.5000  0.0000  0.0000  8 Li 3.14

***

Entry 4:
Compound: DyZn6
Source: the Alexandria database
Functional: PBE
Structure: optimized geometry

Computed properties:
Formation energy = -0.218 eV per atom
V = 16.73 A^3/atom
Energy above the most stable polymorph in this dataset = 0.000 eV per atom

abc: 5.3529 8.3210 10.5195
angles: 90.00 90.00 90.00
With the nearest neighbours (Å) after each atom.
Sites, in units of the cell vectors:
Zn  0.7500  0.1899  0.2436  7 Zn 2.53-2.68
Zn  0.9848  0.5669  0.8087  7 Zn 2.51-2.70
Zn  0.2500  0.0648  0.9085  5 Zn 2.57-2.69
Zn  0.7500  0.9352  0.0915  5 Zn 2.57-2.69
Zn  0.0152  0.4331  0.1913  7 Zn 2.51-2.70
Zn  0.0152  0.9331  0.3087  7 Zn 2.51-2.70
Zn  0.7500  0.3648  0.6467  6 Zn 2.57-2.86
Zn  0.7500  0.8648  0.8533  6 Zn 2.57-2.86
Zn  0.7500  0.4352  0.4085  5 Zn 2.57-2.69
Dy  0.2500  0.2620  0.4423  13 Zn 2.97-3.32
Zn  0.7500  0.6899  0.2564  7 Zn 2.53-2.68
Dy  0.2500  0.7620  0.0577  13 Zn 2.97-3.32
Zn  0.5152  0.5669  0.8087  7 Zn 2.51-2.70
Zn  0.2500  0.5648  0.5915  5 Zn 2.57-2.69
Zn  0.7500  0.5953  0.0223  6 Zn 2.59-2.86
Zn  0.7500  0.0953  0.4777  6 Zn 2.59-2.86
Zn  0.4848  0.9331  0.3087  7 Zn 2.51-2.70
Zn  0.5152  0.0669  0.6913  7 Zn 2.51-2.70
Zn  0.2500  0.8101  0.7564  7 Zn 2.53-2.68
Dy  0.7500  0.2380  0.9423  13 Zn 2.97-3.32
Zn  0.2500  0.6352  0.3533  6 Zn 2.57-2.86
Zn  0.2500  0.3101  0.7436  7 Zn 2.53-2.68
Zn  0.2500  0.4047  0.9777  6 Zn 2.59-2.86
Zn  0.4848  0.4331  0.1913  7 Zn 2.51-2.70
Zn  0.9848  0.0669  0.6913  7 Zn 2.51-2.70
Dy  0.7500  0.7380  0.5577  13 Zn 2.97-3.32
Zn  0.2500  0.9047  0.5223  6 Zn 2.59-2.86
Zn  0.2500  0.1352  0.1467  6 Zn 2.57-2.86

***

Entry 5:
Compound: CsBaIrO4
Source: the Alexandria database
Functional: PBE
Structure: optimized geometry

Computed properties:
E_form (uncorrected) = -1.381 eV per atom
V = 23.13 A^3/atom

abc: 6.7790 6.0911 8.1217
angles: 90.00 105.07 90.00
With the nearest neighbours (Å) after each atom.
Sites, in units of the cell vectors:
Ir  0.7525  0.2500  0.6822  4 O 1.82-1.93
Ba  0.7861  0.7500  0.4654  6 O 2.71-2.91
O  0.3953  0.7500  0.5447  1 Ir 1.85
O  0.4215  0.7500  0.1810  1 Ir 1.82
O  0.5785  0.2500  0.8190  1 Ir 1.82
Ba  0.2139  0.2500  0.5346  6 O 2.71-2.91
O  0.9732  0.0427  0.7075  1 Ir 1.93
Ir  0.2475  0.7500  0.3178  4 O 1.82-1.93
Cs  0.7291  0.7500  0.9488  8 O 3.15-3.47
Cs  0.2709  0.2500  0.0512  8 O 3.15-3.47
O  0.0268  0.9573  0.2925  1 Ir 1.93
O  0.0268  0.5427  0.2925  1 Ir 1.93
O  0.6047  0.2500  0.4553  1 Ir 1.85
O  0.9732  0.4573  0.7075  1 Ir 1.93

***

Entry 6:
Compound: TlAsIrPbAuCl
Source: the Alexandria database
Functional: PBE
Structure: optimized geometry

Computed properties:
E_form (uncorrected) = -0.201 eV per atom
V = 25.75 A^3/atom
Energy above the most stable polymorph in this dataset = 0.035 eV per atom

abc: 10.3214 3.7625 7.9631
angles: 90.00 91.97 90.00
With the nearest neighbours (Å) after each atom.
Sites, in units of the cell vectors:
Cl  0.7064  0.5000  0.7451  1 Pb 2.95, 2 Tl 3.04
Cl  0.7064  0.0000  0.2451  1 Pb 2.95, 2 Tl 3.04
Au  0.0892  0.0000  0.0572  1 As 2.66, 3 Tl 2.79-2.95, 2 Ir 2.88
Tl  0.9383  0.0000  0.7591  3 Au 2.79-2.95, 2 Cl 3.04
Ir  0.2999  0.5000  0.0760  3 As 2.42-2.46
As  0.2958  0.5000  0.7669  3 Ir 2.42-2.46, 1 Au 2.66
Pb  0.5088  0.5000  0.4688  1 Cl 2.95, 2 Ir 3.01, 3 As 3.27-3.29
Ir  0.2999  0.0000  0.5760  3 As 2.42-2.46
Au  0.0892  0.5000  0.5572  1 As 2.66, 3 Tl 2.79-2.95, 2 Ir 2.88
As  0.2958  0.0000  0.2669  3 Ir 2.42-2.46, 1 Au 2.66
Pb  0.5088  0.0000  0.9688  1 Cl 2.95, 2 Ir 3.01, 3 As 3.27-3.29
Tl  0.9383  0.5000  0.2591  3 Au 2.79-2.95, 2 Cl 3.04

***

Entry 7:
Compound: Tb3Pu2NpN6
Source: the Alexandria database
Functional: PBE
Structure: optimized geometry

Computed properties:
E_form (uncorrected) = -1.438 eV per atom
V = 14.89 A^3/atom

abc: 6.0390 6.0390 6.0075
angles: 99.64 99.64 120.02
With the nearest neighbours (Å) after each atom.
Sites, in units of the cell vectors:
N  0.7538  0.7538  0.2367  1 Np 2.38, 2 Pu 2.44, 3 Tb 2.49-2.54
Pu  0.3335  0.6665  0.0000  6 N 2.44
N  0.5955  0.9209  0.7625  1 Np 2.38, 2 Pu 2.44, 3 Tb 2.48-2.53
Tb  0.5000  0.5000  0.5000  6 N 2.48-2.54
Tb  0.1676  0.8324  0.5000  6 N 2.48-2.53
N  0.0791  0.4045  0.2375  1 Np 2.38, 2 Pu 2.44, 3 Tb 2.48-2.53
N  0.2462  0.2462  0.7633  1 Np 2.38, 2 Pu 2.44, 3 Tb 2.49-2.54
N  0.4045  0.0791  0.2375  1 Np 2.38, 2 Pu 2.44, 3 Tb 2.48-2.53
Np  0.0000  0.0000  0.0000  6 N 2.38
N  0.9209  0.5955  0.7625  1 Np 2.38, 2 Pu 2.44, 3 Tb 2.48-2.53
Pu  0.6665  0.3335  0.0000  6 N 2.44
Tb  0.8324  0.1676  0.5000  6 N 2.48-2.53

***

Entry 8:
Compound: Pm2HfPaAs4
Source: the Alexandria database
Functional: PBE
Structure: optimized geometry

Computed properties:
Formation energy = -1.261 eV per atom
V = 24.25 A^3/atom

abc: 4.0897 7.0375 7.1384
angles: 109.23 90.00 90.00
With the nearest neighbours (Å) after each atom.
Sites, in units of the cell vectors:
Pa  0.5000  0.5000  0.0000  6 As 2.85-2.86
As  0.5000  0.2357  0.2278  2 Hf 2.79, 1 Pa 2.85, 3 Pm 2.94-3.01
Pm  0.5000  0.0000  0.5000  6 As 2.94
As  0.0000  0.7533  0.2342  1 Hf 2.78, 2 Pa 2.86, 3 Pm 2.94-3.00
As  0.0000  0.2467  0.7658  1 Hf 2.78, 2 Pa 2.86, 3 Pm 2.94-3.00
Hf  0.0000  0.0000  0.0000  6 As 2.78-2.79
Pm  0.0000  0.5000  0.5000  6 As 3.00-3.01
As  0.5000  0.7643  0.7722  2 Hf 2.79, 1 Pa 2.85, 3 Pm 2.94-3.01

***

Entry 9:
Compound: GaAg3
Source: the Alexandria database
Functional: PBE
Structure: optimized geometry

Computed properties:
Formation energy = 0.012 eV per atom
V = 17.47 A^3/atom

abc: 4.1189 4.1189 4.1189
angles: 90.00 90.00 90.00
With the nearest neighbours (Å) after each atom.
Sites, in units of the cell vectors:
Ag  0.5000  0.0000  0.5000  8 Ag 2.91, 4 Ga 2.91
Ag  0.5000  0.5000  0.0000  8 Ag 2.91, 4 Ga 2.91
Ga  0.0000  0.0000  0.0000  12 Ag 2.91
Ag  0.0000  0.5000  0.5000  8 Ag 2.91, 4 Ga 2.91

***

Entry 10:
Compound: ReSb2Rh
Source: the Alexandria database
Functional: PBE
Structure: optimized geometry

Computed properties:
E_form (uncorrected) = 0.178 eV per atom
V = 18.44 A^3/atom
Energy above the most stable polymorph in this dataset = 0.028 eV per atom

abc: 5.0359 3.2461 4.5127
angles: 90.00 90.00 90.00
With the nearest neighbours (Å) after each atom.
Sites, in units of the cell vectors:
Re  0.0000  0.6249  0.4993  6 Sb 2.74-2.82
Sb  0.5000  0.6250  0.7394  4 Rh 2.74-2.82, 2 Re 2.74
Rh  0.5000  0.1251  0.2507  6 Sb 2.74-2.82
Sb  0.0000  0.1250  0.0106  4 Re 2.74-2.82, 2 Rh 2.74